## LaCePrY (GGA-PBE)

Data for a relaxed structure of LaCePrY.

a = 5.8141 Å, b = 5.8141 Å, c = 5.8141 Å
α = 60.00°, β = 60.00°, γ = 60.00°
Positions (direct):
1 Ce 0.2500 0.2500 0.2500
2 Pr 0.5000 0.5000 0.5000
3 Y 0.7500 0.7500 0.7500
4 La 0.0000 0.0000 0.0000

Energy of formation in eV per atom: 0.192
E in eV/cell: -21.34
Density in Mg/m³: 6.080
DOS at the Fermi energy in states/eV per atom: 2.72